# GGA-PBE Ti4GaSi2, optimized geometry
data_Ti4GaSi2
_chemical_formula_sum 'Ti8 Ga2 Si4'
_space_group_name_H-M_alt 'P 1 21/m 1'
_space_group_IT_number 11
_cell_length_a 4.940
_cell_length_b 5.371
_cell_length_c 8.687
_cell_angle_alpha 90.00
_cell_angle_beta 103.25
_cell_angle_gamma 90.00
loop_
_space_group_symop_operation_xyz
'x,y,z'
'-x,-y,-z'
'-x,y+1/2,-z'
'x,-y+1/2,z'
loop_
_atom_site_label
_atom_site_type_symbol
_atom_site_fract_x
_atom_site_fract_y
_atom_site_fract_z
Ti1 Ti 0.004 0.250 0.329
Ti2 Ti 0.131 0.250 0.952
Ti3 Ti 0.453 0.502 0.234
Ga1 Ga 0.047 0.250 0.654
Si1 Si 0.318 0.750 0.962
Si2 Si 0.435 0.750 0.501
# * DOS(E_F): 16.24 states/eV/cell
# * E_tot: -6.92 eV/atom
# * ΔE_f (raw): -0.42 eV per atom
# * calculated volume: 224 Å³/cell